1.
Here is Cu2Bi2Au after structural relaxation from Alexandria via LeMat-Bulk. Energies are from PBE.

Properties
The offset from the most stable computed form is 0.0634 eV per atom. Its formation energy is 0.177 eV/atom.

Geometry as CIF:
```
data_Cu2Bi2Au
_cell_length_a 3.521
_cell_length_b 3.521
_cell_length_c 17.305
_cell_angle_alpha 90.00
_cell_angle_beta 90.00
_cell_angle_gamma 90.00
_symmetry_space_group_name_H-M 'I 4/m m m'
_symmetry_Int_Tables_number 139
_symmetry_space_group_name_Hall '-I 4 2'
loop_
_atom_site_label
_atom_site_type_symbol
_atom_site_fract_x
_atom_site_fract_y
_atom_site_fract_z
Cu1 Cu 0.000 0.500 0.250
Bi1 Bi 0.000 0.000 0.116
Au1 Au 0.000 0.000 0.500
```


2.
Here is Ba2CuMo after structural relaxation from Alexandria via LeMat-Bulk. Energies are from PBE.

Properties
The offset from the most stable computed form is 0.0286 eV per atom. Its formation energy is 0.694 eV/atom.

Geometry as CIF:
```
data_Ba2CuMo
_cell_length_a 3.405
_cell_length_b 3.755
_cell_length_c 9.441
_cell_angle_alpha 90.00
_cell_angle_beta 90.00
_cell_angle_gamma 90.00
_symmetry_space_group_name_H-M 'P m m 2'
_symmetry_Int_Tables_number 25
loop_
_symmetry_equiv_pos_as_xyz
'x,y,z'
'-x,-y,z'
'-x,y,z'
'x,-y,z'
loop_
_atom_site_label
_atom_site_type_symbol
_atom_site_fract_x
_atom_site_fract_y
_atom_site_fract_z
Ba1 Ba 0.000 0.000 0.000
Ba2 Ba 0.500 0.500 0.421
Cu1 Cu 0.000 0.000 0.659
Mo1 Mo 0.500 0.500 0.741
```


3.
Here is Ni5Ag3Cl12 after structural relaxation from Alexandria via LeMat-Bulk. Energies are from PBE.

Properties
The value obtained for the uncorrected formation energy is -0.404 eV/atom.

Geometry as CIF:
```
data_Ni5Ag3Cl12
_cell_length_a 15.121
_cell_length_b 15.121
_cell_length_c 15.121
_cell_angle_alpha 90.00
_cell_angle_beta 90.00
_cell_angle_gamma 90.00
_symmetry_space_group_name_H-M 'I a -3 d'
_symmetry_Int_Tables_number 230
_symmetry_space_group_name_Hall '-I 4bd 2c 3'
loop_
_atom_site_label
_atom_site_type_symbol
_atom_site_fract_x
_atom_site_fract_y
_atom_site_fract_z
Ni1 Ni 0.000 0.000 0.000
Ni2 Ni 0.000 0.250 0.375
Ag1 Ag 0.000 0.250 0.125
Cl1 Cl 0.028 0.051 0.649
```


Number 1: total magnetic moment 0.00 Bohr magnetons per cell, VASP energy -36.70 eV/cell. Number 2: total magnetic moment 0.00 Bohr magnetons per cell, VASP energy -16.00 eV/cell. Number 3: total magnetic moment 72.34 Bohr magnetons per cell, VASP energy -541.56 eV/cell.